(1)
Compound: Tb4Y4Ho5
Source: Alexandria
Functional: GGA-PBE
Structure: optimized geometry

Output
crystal system	tetragonal
calculated formation energy	0.3	eV/f.u.
DOS(E_F)	17.8	states/eV/cell
uncorrected energy	-5.1550	eV per atom
SG	I4/m

Cell lengths 5.013, 9.395, 9.394 Å; angles 85.92, 74.53, 74.53 degrees
Element x y z (fractional)
Tb1 0.770 0.383 0.077
Tb2 0.230 0.617 0.923
Tb3 0.847 0.923 0.383
Tb4 0.153 0.077 0.617
Y1 0.922 0.462 0.694
Y2 0.616 0.306 0.462
Y3 0.078 0.538 0.306
Y4 0.384 0.694 0.538
Ho1 0.691 0.848 0.770
Ho2 0.309 0.152 0.230
Ho3 0.000 0.000 0.000
Ho4 0.539 0.770 0.152
Ho5 0.461 0.230 0.848



(2)
Compound: Y2Ho6Er3Tm
Source: Alexandria
Functional: GGA-PBE
Structure: optimized geometry

Output
crystal system	monoclinic
calculated formation energy	0.3	eV/f.u.
DOS(E_F)	17.0	states/eV/cell
uncorrected energy	-4.8569	eV per atom
SG	C2/m

Cell lengths 6.102, 6.102, 11.682 Å; angles 94.98, 94.98, 119.93 degrees
Element x y z (fractional)
Y1 0.333 0.667 0.000
Y2 0.667 0.333 0.000
Ho1 0.916 0.584 0.749
Ho2 0.752 0.752 0.251
Ho3 0.084 0.416 0.251
Ho4 0.584 0.916 0.749
Ho5 0.248 0.248 0.749
Ho6 0.416 0.084 0.251
Er1 0.167 0.833 0.500
Er2 0.833 0.167 0.500
Er3 0.500 0.500 0.500
Tm1 0.000 0.000 0.000



(3)
Compound: Sc2BeHg
Source: Alexandria
Functional: GGA-PBE
Structure: optimized geometry

Output
crystal system	monoclinic
calculated formation energy	0.2	eV/f.u.
distance to the lowest polymorph of the same formula	0.2771	eV per atom
DOS(E_F)	3.4	states/eV/cell
uncorrected energy	-4.1329	eV per atom
SG	C2/m

Cell lengths 4.515, 4.515, 6.068 Å; angles 78.31, 78.31, 43.94 degrees
Element x y z (fractional)
Sc1 0.010 0.010 0.966
Sc2 0.490 0.490 0.534
Be1 0.750 0.750 0.750
Hg1 0.250 0.250 0.250



(4)
Compound: Hg2Au3
Source: Alexandria
Functional: GGA-PBE
Structure: optimized geometry

Output
crystal system	trigonal
calculated formation energy	1.0	eV/f.u.
distance to the lowest polymorph of the same formula	0.1518	eV per atom
DOS(E_F)	1.9	states/eV/cell
uncorrected energy	-1.8790	eV per atom
SG	R-3c

Cell lengths 7.189, 7.189, 6.552 Å; angles 56.73, 56.73, 60.00 degrees
Element x y z (fractional)
Au1 0.981 0.750 0.750
Au2 0.750 0.519 0.750
Au3 0.519 0.981 0.750
Au4 0.250 0.481 0.250
Au5 0.481 0.019 0.250
Au6 0.019 0.250 0.250
Hg1 0.908 0.908 0.276
Hg2 0.408 0.408 0.776
Hg3 0.092 0.092 0.724
Hg4 0.592 0.592 0.224